Arrangement i

A relaxed MgScIrPb crystal, computed with GGA-PBE.

abc: 4.747 4.747 4.747
angles: 60.00 60.00 60.00
Sites, in units of the cell vectors:
1 Ir 0.250 0.250 0.250
2 Pb 0.500 0.500 0.500
3 Sc 0.000 0.000 0.000
4 Mg 0.750 0.750 0.750

Computed properties:
space group: F-43m, No. 216

***

Arrangement ii

A relaxed MgScIrPb crystal, computed with GGA-PBE.

abc: 4.756 4.756 4.756
angles: 60.00 60.00 60.00
Sites, in units of the cell vectors:
1 Ir 0.500 0.500 0.500
2 Mg 0.750 0.750 0.750
3 Pb 0.250 0.250 0.250
4 Sc 0.000 0.000 0.000

Computed properties:
space group: F-43m, No. 216

***

Which of them is the most stable? Correct choice: arrangement i.